(1)
A relaxed structure of NaB2F7, computed with PBE.

Results
energy relative to the elements, uncorrected = -2.387 eV/atom

Cell: 4.7757 16.8067 2.7047 Å, 90.00 90.00 90.00°
With the nearest neighbours (Å) after each atom.
Space group Cmmm (No. 65)
Unique sites:
Na 0.0000 0.0000 0.0000 x2  2 Na 2.70, 12 F 2.74-2.87
B 0.0000 0.3342 0.5000 x4  2 F 1.32
F 0.0000 0.2803 0.0000 x4  2 B 1.63
F 0.0000 0.5000 0.5000 x2  6 F 2.54-2.70, 4 Na 2.74, 2 B 2.79
F 0.2487 0.1331 0.5000 x8  1 B 1.32

(2)
A relaxed structure of LiAlCd, computed with PBE.

Results
D(E_F) = 0.68 states/eV/f.u.
energy relative to the lowest polymorph listed for this composition = 0 meV/atom

Cell: 2.9979 15.3550 4.6620 Å, 90.00 90.00 90.00°
With the nearest neighbours (Å) after each atom.
Space group Cmcm (No. 63)
Unique sites:
Li 0.0000 0.1121 0.2500 x4  6 Cd 2.89-3.01, 4 Al 2.90-2.92, 2 Li 3.00
Al 0.0000 0.2247 0.7500 x4  6 Al 2.88-3.00, 4 Li 2.90-2.92, 2 Cd 2.96
Cd 0.0000 0.4418 0.2500 x4  6 Li 2.89-3.01, 4 Cd 2.94-3.00, 2 Al 2.96

Number 1: volume 10.85 Å³/atom, E -103.29 eV for the cell shown. Number 2: volume 17.88 Å³/atom, E -27.98 eV for the cell shown.